[1]
Compound: DyTiAg
Source: Alexandria via LeMat-Bulk
Functional: PBE-GGA
Structure: relaxed

Summary:
N(E_F) in states/eV per atom: 1.151
E_form in meV/atom: 143
Final energy in eV per atom: -4.97
Calculated density in Mg/m³: 7.80

Unit cell a=5.287 b=8.958 c=11.448 alpha=90.00 beta=90.00 gamma=90.00
Space group Fmmm (No. 69)
Asymmetric unit:
Dy  0.000  0.000  0.132 x8
Ti  0.000  0.165  0.500 x8
Ag  0.250  0.250  0.250 x8



[2]
Compound: Er3Ga6Pd20
Source: Alexandria via LeMat-Bulk
Functional: PBE-GGA
Structure: relaxed

Summary:
N(E_F) in states/eV per atom: 0.512
E_form in meV/atom: -675
Final energy in eV per atom: -5.35
Calculated density in Mg/m³: 10.45

Unit cell a=12.468 b=12.468 c=12.468 alpha=90.00 beta=90.00 gamma=90.00
Space group Fm-3m (No. 225)
Asymmetric unit:
Er  0.000  0.000  0.000 x4
Er  0.250  0.250  0.250 x8
Ga  0.000  0.000  0.275 x24
Pd  0.000  0.171  0.171 x48
Pd  0.123  0.123  0.377 x32